An optimized crystal structure of NaLaFeAu2. Source: the Alexandria database, functional PBE.

Unit cell a=5.007 b=5.007 c=4.799 alpha=90.00 beta=90.00 gamma=90.00
Space group P4/mmm (No. 123)
Symmetry-distinct sites (fractional):
Na 0.000 0.000 0.000
La 0.500 0.500 0.500
Fe 0.000 0.000 0.500
Au 0.000 0.500 0.000

Computed properties:
Energy of formation from the pure elements   0.458 eV per atom
DOS at the Fermi energy   1.177 states/eV per atom
Calculated density   8.4 g cm⁻³